No. 1
Here is a relaxed structure of CuOs3C from OQMD via LeMat-Bulk. Energies are from PBE-GGA.

Values from the calculation:
Its space group is Pm-3m, No. 221. The calculation puts the energy at -43.21 eV for the cell shown.

a b c (Å): 4.029 4.029 4.029
angles (deg): 90.00 90.00 90.00
Fractional coordinates of all 5 atoms:
Cu  0.000  0.000  0.000
Os  0.000  0.500  0.500
Os  0.500  0.000  0.500
Os  0.500  0.500  0.000
C  0.500  0.500  0.500



No. 2
Here is a relaxed structure of Sc4CuPC2 from OQMD via LeMat-Bulk. Energies are from PBE-GGA.

Values from the calculation:
Its space group is P-6m2, No. 187. The calculation puts the energy at -57.49 eV for the cell shown.

a b c (Å): 3.413 3.413 12.626
angles (deg): 90.00 90.00 120.00
Fractional coordinates of all 8 atoms:
Sc  0.000  0.000  0.142
Sc  0.000  0.000  0.858
Sc  0.667  0.333  0.336
Sc  0.667  0.333  0.664
Cu  0.000  0.000  0.500
P  0.667  0.333  0.000
C  0.333  0.667  0.249
C  0.333  0.667  0.751



No. 3
Here is a relaxed structure of Sc4CuPC2 from OQMD via LeMat-Bulk. Energies are from PBE-GGA.

Values from the calculation:
Its space group is P-6m2, No. 187. The calculation puts the energy at -57.49 eV for the cell shown.

a b c (Å): 3.414 3.414 12.622
angles (deg): 90.00 90.00 120.00
Fractional coordinates of all 8 atoms:
Sc  0.000  0.000  0.143
Sc  0.000  0.000  0.857
Sc  0.333  0.667  0.336
Sc  0.333  0.667  0.664
Cu  0.000  0.000  0.500
P  0.333  0.667  0.000
C  0.667  0.333  0.249
C  0.667  0.333  0.751



No. 4
Here is a relaxed structure of Y4CuPC2 from OQMD via LeMat-Bulk. Energies are from PBE-GGA.

Values from the calculation:
Its space group is P-6m2, No. 187. The calculation puts the energy at -57.22 eV for the cell shown.

a b c (Å): 3.717 3.717 13.423
angles (deg): 90.00 90.00 120.00
Fractional coordinates of all 8 atoms:
Y  0.000  0.000  0.137
Y  0.000  0.000  0.863
Y  0.333  0.667  0.339
Y  0.333  0.667  0.661
Cu  0.000  0.000  0.500
P  0.333  0.667  0.000
C  0.667  0.333  0.250
C  0.667  0.333  0.750



Spin magnetization list, top to bottom, in μB/f.u.: 1.3, 0.0, 0.0, 0.0